First-principles (PBE) data for CaHgSbAu after structural relaxation, as listed in Alexandria.

a = 5.153 Å, b = 5.153 Å, c = 5.153 Å
α = 60.00°, β = 60.00°, γ = 60.00°
Positions (direct):
Ca  0.000  0.000  0.000
Hg  0.750  0.750  0.750
Sb  0.500  0.500  0.500
Au  0.250  0.250  0.250

Space group ... F-43m (216)
Total magnetization ... 0.000 μB per cell
Energy relative to the elements, uncorrected ... -0.45 eV per atom
Calculated volume ... 97 Å³/cell
E ... -11.49 eV per cell



First-principles (PBE) data for Nb2CdIn2 after structural relaxation, as listed in Alexandria.

a = 7.587 Å, b = 7.587 Å, c = 3.817 Å
α = 90.00°, β = 90.00°, γ = 90.00°
Positions (direct):
Nb  0.119  0.381  0.000
Nb  0.381  0.881  0.000
Nb  0.619  0.119  0.000
Nb  0.881  0.619  0.000
Cd  0.000  0.000  0.000
Cd  0.500  0.500  0.000
In  0.179  0.679  0.500
In  0.321  0.179  0.500
In  0.679  0.821  0.500
In  0.821  0.321  0.500

ΔE to the lowest computed polymorph ... 0.000 eV per atom
Space group ... P4/mbm (127)
Total magnetization ... 0.000 μB per cell
Energy of formation ... 0.2335 eV/atom
Calculated volume ... 220 Å³/cell
E ... -50.73 eV per cell



First-principles (PBE) data for MnNiAs4 after structural relaxation, as listed in Alexandria.

a = 5.936 Å, b = 5.901 Å, c = 5.906 Å
α = 90.00°, β = 90.38°, γ = 90.00°
Positions (direct):
Mn  0.000  0.000  0.000
Mn  0.000  0.500  0.500
Ni  0.500  0.000  0.500
Ni  0.500  0.500  0.000
As  0.129  0.116  0.384
As  0.129  0.384  0.884
As  0.384  0.625  0.374
As  0.384  0.875  0.874
As  0.616  0.125  0.126
As  0.616  0.375  0.626
As  0.871  0.616  0.116
As  0.871  0.884  0.616

ΔE to the lowest computed polymorph ... 0.000 eV per atom
Space group ... P2_1/c (14)
Total magnetization ... 5.786 μB per cell
Energy of formation ... -0.1474 eV/atom
Calculated volume ... 207 Å³/cell
E ... -68.87 eV per cell



First-principles (PBE) data for CsCaScIn2 after structural relaxation, as listed in Alexandria.

a = 5.687 Å, b = 5.687 Å, c = 5.906 Å
α = 90.00°, β = 90.00°, γ = 90.00°
Positions (direct):
Cs  0.000  0.000  0.000
Ca  0.500  0.500  0.000
Sc  0.000  0.000  0.500
In  0.000  0.500  0.500
In  0.500  0.000  0.500

Space group ... P4/mmm (123)
Total magnetization ... 0.303 μB per cell
Energy of formation ... 0.3826 eV/atom
Calculated volume ... 191 Å³/cell
E ... -12.75 eV per cell



Repeat the third record exactly.
First-principles (PBE) data for MnNiAs4 after structural relaxation, as listed in Alexandria.

a = 5.936 Å, b = 5.901 Å, c = 5.906 Å
α = 90.00°, β = 90.38°, γ = 90.00°
Positions (direct):
Mn  0.000  0.000  0.000
Mn  0.000  0.500  0.500
Ni  0.500  0.000  0.500
Ni  0.500  0.500  0.000
As  0.129  0.116  0.384
As  0.129  0.384  0.884
As  0.384  0.625  0.374
As  0.384  0.875  0.874
As  0.616  0.125  0.126
As  0.616  0.375  0.626
As  0.871  0.616  0.116
As  0.871  0.884  0.616

ΔE to the lowest computed polymorph ... 0.000 eV per atom
Space group ... P2_1/c (14)
Total magnetization ... 5.786 μB per cell
Energy of formation ... -0.1474 eV/atom
Calculated volume ... 207 Å³/cell
E ... -68.87 eV per cell



What did the fourth record say?
First-principles (PBE) data for CsCaScIn2 after structural relaxation, as listed in Alexandria.

a = 5.687 Å, b = 5.687 Å, c = 5.906 Å
α = 90.00°, β = 90.00°, γ = 90.00°
Positions (direct):
Cs  0.000  0.000  0.000
Ca  0.500  0.500  0.000
Sc  0.000  0.000  0.500
In  0.000  0.500  0.500
In  0.500  0.000  0.500

Space group ... P4/mmm (123)
Total magnetization ... 0.303 μB per cell
Energy of formation ... 0.3826 eV/atom
Calculated volume ... 191 Å³/cell
E ... -12.75 eV per cell



- Number 3 is which compound?
  MnNiAs4